# NaCdH3C3O6

NaCdH3C3O6 after structural relaxation (PBE, the Open Quantum Materials Database).

Geometry as POSCAR:
```
NaCdH3C3O6
1.0
-3.4397 -1.8024 5.0219
6.0059 -1.8419 3.4526
0.9391 13.0407 5.3236
O C Na H Cd
24 12 4 12 4
Direct
0.6091 0.1871 0.3120
0.3909 0.8129 0.6880
0.4591 0.3915 0.8519
0.9591 0.6085 0.6481
0.8909 0.1871 0.8120
0.4398 0.8402 0.4585
0.3909 0.1871 0.1880
0.1091 0.8129 0.1880
0.9591 0.3915 0.1481
0.5409 0.3915 0.6481
0.6091 0.8129 0.8120
0.0409 0.6085 0.8519
0.9398 0.1598 0.0415
0.5602 0.8402 0.0415
0.5602 0.1598 0.5415
0.8909 0.8129 0.3120
0.1091 0.1871 0.6880
0.9398 0.8402 0.5415
0.0602 0.8402 0.9585
0.5409 0.6085 0.1481
0.4591 0.6085 0.3519
0.4398 0.1598 0.9585
0.0602 0.1598 0.4585
0.0409 0.3915 0.3519
0.8628 0.7002 0.5871
0.8628 0.2998 0.0871
0.5000 0.8971 0.7500
0.3628 0.2998 0.9129
0.0000 0.1029 0.7500
0.1372 0.7002 0.9129
0.6372 0.2998 0.5871
0.3628 0.7002 0.4129
0.0000 0.8971 0.2500
0.6372 0.7002 0.0871
0.1372 0.2998 0.4129
0.5000 0.1029 0.2500
0.2500 0.5000 0.7227
0.7500 0.5000 0.2773
0.7500 0.5000 0.7773
0.2500 0.5000 0.2227
0.3022 0.3357 0.4305
0.6978 0.3357 0.0695
0.0000 0.0522 0.2500
0.1978 0.3357 0.9305
0.0000 0.9478 0.7500
0.5000 0.0522 0.7500
0.6978 0.6643 0.5695
0.8022 0.3357 0.5695
0.1978 0.6643 0.4305
0.3022 0.6643 0.9305
0.5000 0.9478 0.2500
0.8022 0.6643 0.0695
0.7500 0.0000 0.4280
0.2500 0.0000 0.5720
0.2500 0.0000 0.0720
0.7500 0.0000 0.9280
```

electronic total energy: -6.060 eV per atom